SrYMo4 after structural relaxation, computed with GGA-PBE.

Computed properties:
Crystal system: cubic
E_tot, eV/atom: -8.119
Space-group type: No. 216
Energy relative to the elements, kcal/mol of atoms: 10.589

Lattice parameters (Å, degrees): 5.5860 5.5860 5.5860 60.00 60.00 60.00
Last column: nearest neighbours and their distance in Å.
Element x y z (fractional)
Sr 0.7500 0.7500 0.7500  12 Mo 3.27, 4 Y 3.42
Y 0.0000 0.0000 0.0000  12 Mo 3.28, 4 Sr 3.42
Mo 0.8746 0.3751 0.3751  6 Mo 2.79-2.80
Mo 0.3751 0.3751 0.8746  6 Mo 2.79-2.80
Mo 0.3751 0.8746 0.3751  6 Mo 2.79-2.80
Mo 0.3751 0.3751 0.3751  6 Mo 2.79-2.80